Entry 1:
This record from Alexandria via LeMat-Bulk describes a geometry-optimized Zn2CdRe structure. The functional is GGA-PBE.

Cell lengths 2.730, 4.078, 5.812 Å; angles 90.00, 90.00, 90.00 degrees
Element x y z (fractional)
1 Cd 0.500 0.500 0.250
2 Re 0.500 0.500 0.750
3 Zn 0.000 0.000 0.968
4 Zn 0.000 0.000 0.532

- Fermi-level density of states: 2.2 states/eV/cell
- E_tot: -3.658 eV per atom
- Formation energy: 1.278 eV per formula unit

Entry 2:
This record from Alexandria via LeMat-Bulk describes a geometry-optimized Tb2Ho3Tl4 structure. The functional is GGA-PBE.

Cell lengths 5.265, 5.265, 10.504 Å; angles 89.99, 89.99, 59.98 degrees
Element x y z (fractional)
1 Tb 0.333 0.333 0.224
2 Tb 0.667 0.667 0.776
3 Ho 0.333 0.333 0.574
4 Ho 0.000 0.000 0.000
5 Ho 0.667 0.667 0.426
6 Tl 0.666 0.666 0.103
7 Tl 0.000 0.000 0.654
8 Tl 0.000 0.000 0.346
9 Tl 0.334 0.334 0.897

- Fermi-level density of states: 7.4 states/eV/cell
- E_tot: -3.900 eV per atom
- Energy above the most stable polymorph in this dataset: 0 meV/atom
- Formation energy: -2.643 eV per formula unit

Entry 3:
This record from Alexandria via LeMat-Bulk describes a geometry-optimized K2Np3CdS8 structure. The functional is GGA-PBE.

Cell lengths 7.968, 7.968, 9.117 Å; angles 64.09, 64.09, 60.00 degrees
Last column: magnetic moment on the atom in μB.
Element x y z (fractional)
1 K 0.137 0.137 0.589  0.00
2 K 0.489 0.489 0.534  0.00
3 Np 0.492 0.989 0.027  3.27
4 Np 0.989 0.492 0.027  3.27
5 Np 0.492 0.492 0.027  3.27
6 Cd 0.976 0.976 0.073  0.00
7 S 0.266 0.266 0.202  -0.11
8 S 0.717 0.717 0.848  -0.12
9 S 0.223 0.223 0.847  -0.10
10 S 0.707 0.223 0.847  -0.10
11 S 0.223 0.707 0.847  -0.10
12 S 0.752 0.278 0.218  -0.10
13 S 0.278 0.752 0.218  -0.10
14 S 0.752 0.752 0.218  -0.10

- Formation energy without anion corrections: -1201 meV per atom
- Fermi-level density of states: 28.2 states/eV/cell
- E_tot: -6.555 eV per atom

E_tot of number 3 (K2Np3CdS8)? -6.555 eV per atom